Record 1
Entry from the Alexandria database: crystalline CoNi2S4 at its relaxed geometry (PBE).

The structure in extended XYZ format:
```
14
Lattice="4.5431 0.0000 0.0000 0.0000 4.5431 0.0000 0.0000 0.0000 10.7632" Properties=species:S:1:pos:R:3 pbc="T T T"
Co 0.0000 0.0000 0.0000
Co 2.2715 2.2715 5.3816
Ni 0.0000 0.0000 4.2151
Ni 0.0000 0.0000 6.5482
Ni 2.2715 2.2715 1.1665
Ni 2.2715 2.2715 9.5967
S 0.0000 0.0000 2.1713
S 0.0000 0.0000 8.5919
S 0.0000 2.2715 0.0000
S 0.0000 2.2715 5.3816
S 2.2715 0.0000 0.0000
S 2.2715 0.0000 5.3816
S 2.2715 2.2715 3.2103
S 2.2715 2.2715 7.5530
```

Properties
**Energy**: -66.8 eV per cell
**D(E_F)**: 1.042 states/eV per atom
**Uncorrected formation energy**: 257 meV/atom


Record 2
Entry from the Alexandria database: crystalline Co2Ni2S5 at its relaxed geometry (PBE).

The structure in extended XYZ format:
```
9
Lattice="1.8137 1.0472 12.2078 -1.8137 1.0472 12.2078 0.0000 -2.0943 12.2078" Properties=species:S:1:pos:R:3 pbc="T T T"
Co 0.0000 0.0000 0.0000
Co 0.0000 0.0000 6.0024
Ni 0.0000 0.0000 21.4716
Ni 0.0000 0.0000 27.1885
S 0.0000 0.0000 2.3754
S 0.0000 0.0000 19.2768
S 0.0000 0.0000 24.8375
S 0.0000 0.0000 29.4008
S 0.0000 0.0000 34.4220
```

Properties
**Energy**: -49.1 eV per cell
**D(E_F)**: 0.858 states/eV per atom
**Uncorrected formation energy**: -296 meV/atom


Record 3
Entry from the Alexandria database: crystalline CoNiS4 at its relaxed geometry (PBE).

The structure in extended XYZ format:
```
6
Lattice="3.3716 0.0000 0.0000 1.6644 5.5764 0.0000 1.6649 2.5354 5.0072" Properties=species:S:1:pos:R:3 pbc="T T T"
Co 0.0000 0.0000 0.0000
Ni 3.3505 4.0559 2.5036
S 1.6633 2.5707 2.7771
S 3.3511 3.9977 4.7734
S 3.3498 4.1141 0.2338
S 5.0377 5.5411 2.2301
```

Properties
**Energy**: -31.0 eV per cell
**D(E_F)**: 0.498 states/eV per atom
**Uncorrected formation energy**: -260 meV/atom


Record 4
Entry from the Alexandria database: crystalline CoNi2S4 at its relaxed geometry (PBE).

The structure in extended XYZ format:
```
14
Lattice="0.0000 5.9106 3.3910 5.0191 0.0000 3.3910 5.0191 5.9106 0.0000" Properties=species:S:1:pos:R:3 pbc="T T T"
Co 0.0000 0.0000 0.0000
Co 2.5095 2.9553 1.6955
Ni 7.2977 5.8000 3.5648
Ni 9.8072 8.9765 5.2603
Ni 2.7405 6.0212 3.5648
Ni 5.2500 8.7553 5.2603
S 6.3005 6.9443 1.8216
S 6.1450 3.8599 3.6532
S 3.7909 1.9215 3.5171
S 3.7377 4.8768 1.8216
S 6.4027 6.8152 5.3487
S 6.2472 9.8996 3.5171
S 3.8931 7.9613 3.6532
S 8.6546 10.9166 5.3487
```

Properties
**Energy**: -74.9 eV per cell
**D(E_F)**: 0.574 states/eV per atom
**Uncorrected formation energy**: -324 meV/atom


Record 5
Entry from the Alexandria database: crystalline CoNiS3 at its relaxed geometry (PBE).

The structure in extended XYZ format:
```
20
Lattice="8.7512 0.0000 0.0000 0.0000 3.3516 0.0000 0.0000 0.0000 9.9443" Properties=species:S:1:pos:R:3 pbc="T T T"
Co 1.4091 0.8379 0.3210
Co 2.9665 2.5137 5.2932
Co 5.7846 0.8379 4.6511
Co 7.3421 2.5137 9.6233
Ni 0.2082 0.8379 6.4898
Ni 4.1673 2.5137 1.5176
Ni 4.5838 0.8379 8.4268
Ni 8.5429 2.5137 3.4546
S 0.2642 2.5137 1.1920
S 1.3073 0.8379 4.4261
S 1.5730 2.5137 6.9305
S 2.8026 0.8379 1.9583
S 3.0682 2.5137 9.3982
S 4.1114 0.8379 6.1641
S 4.6398 2.5137 3.7802
S 5.6829 0.8379 0.5461
S 5.9486 2.5137 7.9860
S 7.1782 0.8379 3.0139
S 7.4438 2.5137 5.5183
S 8.4870 0.8379 8.7524
```

Properties
**Energy**: -105.7 eV per cell
**D(E_F)**: 0.638 states/eV per atom
**Uncorrected formation energy**: -231 meV/atom


Record 6
Entry from the Alexandria database: crystalline CoNi2S4 at its relaxed geometry (PBE).

The structure in extended XYZ format:
```
14
Lattice="0.0000 4.6938 4.6938 4.6938 0.0000 4.6938 4.6938 4.6938 0.0000" Properties=species:S:1:pos:R:3 pbc="T T T"
Co 1.1734 1.1734 1.1734
Co 8.2141 8.2141 8.2141
Ni 4.6938 2.3469 2.3469
Ni 2.3469 4.6938 2.3469
Ni 2.3469 2.3469 4.6938
Ni 4.6938 4.6938 4.6938
S 2.4057 2.4057 2.4057
S 4.6350 4.6350 2.4057
S 4.6350 2.4057 4.6350
S 6.9819 4.7526 4.7526
S 2.4057 4.6350 4.6350
S 4.7526 6.9819 4.7526
S 4.7526 4.7526 6.9819
S 6.9819 6.9819 6.9819
```

Properties
**Energy**: -75.6 eV per cell
**D(E_F)**: 0.549 states/eV per atom
**Uncorrected formation energy**: -374 meV/atom